{"formula": "HfMgFe2O6", "functional": "PBE with a Hubbard U", "state": "relaxed", "lattice": [[2.583, 1.491, 4.657], [-2.583, 1.491, 4.657], [0.000, -2.982, 4.657]], "species": ["Hf", "Mg", "Fe", "Fe", "O", "O", "O", "O", "O", "O"], "fractional_positions": [[0.000, 0.000, 0.000], [0.505, 0.505, 0.505], [0.298, 0.298, 0.298], [0.794, 0.794, 0.794], [0.084, 0.410, 0.684], [0.186, 0.920, 0.581], [0.410, 0.684, 0.084], [0.581, 0.186, 0.920], [0.684, 0.084, 0.410], [0.920, 0.581, 0.186]], "energy_ev_per_atom": -7.4000, "mass_density_g_cm3": 6.33, "crystal_system": "trigonal", "vol_a3_per_cell": 107.6, "sg": "R3, No. 146", "m_tot_mub_per_cell": 6.048}